one:
Computed, not measured: an optimized crystal structure of NiRuOF2 at the PBE with a Hubbard U level of DFT.

The value obtained for the density is 5.84 g/cm3.

The structure belongs to space group P4/mmm (No. 123); the cell edges are 3.868, 3.868 and 4.064 Å and the angles 90.00°, 90.00° and 90.00°. The distinct sites, in fractional coordinates, are Ni at (0.000, 0.000, 0.000), Ru at (0.500, 0.500, 0.500), O at (0.000, 0.000, 0.500) and F at (0.000, 0.500, 0.000).

=====

two:
Computed, not measured: an optimized crystal structure of NiRuOF2 at the PBE with a Hubbard U level of DFT.

The value obtained for the density is 5.31 g/cm3.

The structure belongs to space group P4/mmm (No. 123); the cell edges are 4.231, 4.231 and 3.735 Å and the angles 90.00°, 90.00° and 90.00°. The distinct sites, in fractional coordinates, are Ni at (0.000, 0.000, 0.000), Ru at (0.500, 0.500, 0.500), O at (0.500, 0.500, 0.000) and F at (0.000, 0.500, 0.500).

=====

The least stable of them is one.

=====

one:
Computed, not measured: an optimized crystal structure of NiSnOF2 at the PBE with a Hubbard U level of DFT.

The value obtained for the density is 5.91 g/cm3.

The structure belongs to space group P4/mmm (No. 123); the cell edges are 3.959, 3.959 and 4.146 Å and the angles 90.00°, 90.00° and 90.00°. The distinct sites, in fractional coordinates, are Ni at (0.000, 0.000, 0.000), Sn at (0.500, 0.500, 0.500), O at (0.000, 0.000, 0.500) and F at (0.000, 0.500, 0.000).

=====

two:
Computed, not measured: an optimized crystal structure of NiSnOF2 at the PBE with a Hubbard U level of DFT.

The value obtained for the density is 4.88 g/cm3.

The structure belongs to space group P4/mmm (No. 123); the cell edges are 4.374, 4.374 and 4.116 Å and the angles 90.00°, 90.00° and 90.00°. The distinct sites, in fractional coordinates, are Ni at (0.000, 0.000, 0.000), Sn at (0.500, 0.500, 0.500), O at (0.500, 0.500, 0.000) and F at (0.000, 0.500, 0.500).

=====

The least stable of them is two.

=====

one:
Computed, not measured: an optimized crystal structure of TaNiOF2 at the PBE with a Hubbard U level of DFT.

The value obtained for the density is 7.30 g/cm3.

The structure belongs to space group P4/mmm (No. 123); the cell edges are 4.134, 4.134 and 3.908 Å and the angles 90.00°, 90.00° and 90.00°. The distinct sites, in fractional coordinates, are Ta at (0.000, 0.000, 0.000), Ni at (0.500, 0.500, 0.500), O at (0.000, 0.000, 0.500) and F at (0.000, 0.500, 0.000).

=====

two:
Computed, not measured: an optimized crystal structure of TaNiOF2 at the PBE with a Hubbard U level of DFT.

The value obtained for the density is 7.89 g/cm3.

The structure belongs to space group P4/mmm (No. 123); the cell edges are 3.778, 3.778 and 4.329 Å and the angles 90.00°, 90.00° and 90.00°. The distinct sites, in fractional coordinates, are Ta at (0.000, 0.000, 0.000), Ni at (0.500, 0.500, 0.500), O at (0.500, 0.500, 0.000) and F at (0.000, 0.500, 0.500).

=====

The least stable of them is two.

=====

one:
Computed, not measured: an optimized crystal structure of TiNiOF2 at the PBE with a Hubbard U level of DFT.

The value obtained for the density is 4.32 g/cm3.

The structure belongs to space group P4/mmm (No. 123); the cell edges are 4.006, 4.006 and 3.842 Å and the angles 90.00°, 90.00° and 90.00°. The distinct sites, in fractional coordinates, are Ti at (0.000, 0.000, 0.000), Ni at (0.500, 0.500, 0.500), O at (0.000, 0.000, 0.500) and F at (0.000, 0.500, 0.000).

=====

two:
Computed, not measured: an optimized crystal structure of TiNiOF2 at the PBE with a Hubbard U level of DFT.

The value obtained for the density is 4.47 g/cm3.

The structure belongs to space group P4/mmm (No. 123); the cell edges are 3.840, 3.840 and 4.045 Å and the angles 90.00°, 90.00° and 90.00°. The distinct sites, in fractional coordinates, are Ti at (0.000, 0.000, 0.000), Ni at (0.500, 0.500, 0.500), O at (0.500, 0.500, 0.000) and F at (0.000, 0.500, 0.500).

=====

The least stable of them is two.